No. 1
## Pr12Sm2Ho5 (PBE)

Data for a geometry-optimized Pr12Sm2Ho5 structure.

The raw total energy is -4.594 eV per atom. The calculation puts the energy above the most stable polymorph in this dataset at 30 meV per atom. The density of states at the Fermi level is 26.5 states/eV/f.u. As for the formation energy: 0.1262 eV/atom. As for the space-group type: No. 12.

a b c (Å): 10.589 9.401 8.133
angles (deg): 87.56 90.00 124.28
Atoms (fractional coordinates):
Pr 0.861 0.723 0.113
Pr 0.039 0.627 0.792
Pr 0.588 0.627 0.792
Pr 0.166 0.787 0.388
Pr 0.620 0.787 0.388
Pr 0.446 0.893 0.714
Pr 0.554 0.107 0.286
Pr 0.834 0.213 0.612
Pr 0.380 0.213 0.612
Pr 0.961 0.373 0.208
Pr 0.412 0.373 0.208
Pr 0.139 0.277 0.887
Sm 0.740 0.000 0.000
Sm 0.260 0.000 0.000
Ho 0.243 0.486 0.512
Ho 0.345 0.691 0.093
Ho 0.000 0.000 0.500
Ho 0.655 0.309 0.907
Ho 0.757 0.514 0.488

***

No. 2
## RbLi2In9 (PBE)

Data for a geometry-optimized RbLi2In9 structure.

The raw total energy is -2.547 eV per atom. The density of states at the Fermi level is 5.8 states/eV/f.u. As for the formation energy: -0.0940 eV/atom. As for the space-group type: No. 191.

a b c (Å): 4.481 9.231 9.231
angles (deg): 120.00 90.00 90.00
Atoms (fractional coordinates):
Rb 0.000 0.000 0.000
Li 0.000 0.667 0.333
Li 0.000 0.333 0.667
In 0.500 0.790 0.210
In 0.000 0.000 0.500
In 0.000 0.500 0.500
In 0.500 0.790 0.580
In 0.500 0.210 0.790
In 0.500 0.580 0.790
In 0.500 0.210 0.420
In 0.000 0.500 0.000
In 0.500 0.420 0.210